No. 1
ScZn8Fe4 after structural relaxation. Source: Alexandria, functional GGA-PBE.

Results
DFT total energy = -51.1 eV per cell
Total magnetic moment = 6.4 Bohr magnetons per cell

Cell and atoms, written as CIF:
```
data_ScZn8Fe4
_chemical_formula_sum 'Sc1 Zn8 Fe4'
_symmetry_space_group_name_H-M 'P 1'
_symmetry_Int_Tables_number 1
_cell_length_a 6.582
_cell_length_b 6.582
_cell_length_c 6.582
_cell_angle_alpha 98.39
_cell_angle_beta 98.39
_cell_angle_gamma 135.09
loop_
_symmetry_equiv_pos_as_xyz
'x,y,z'
loop_
_atom_site_label
_atom_site_fract_x
_atom_site_fract_y
_atom_site_fract_z
Sc1 0.000 0.000 0.000
Zn1 0.000 0.332 0.332
Zn2 0.000 0.668 0.668
Zn3 0.278 0.500 0.778
Zn4 0.332 0.000 0.332
Zn5 0.500 0.278 0.778
Zn6 0.500 0.722 0.222
Zn7 0.668 0.000 0.668
Zn8 0.722 0.500 0.222
Fe1 0.000 0.000 0.500
Fe2 0.000 0.500 0.000
Fe3 0.500 0.000 0.000
Fe4 0.500 0.500 0.500
```

---

No. 2
Sc2Zn2Fe after structural relaxation. Source: Alexandria, functional GGA-PBE.

Results
DFT total energy = -48.0 eV per cell
Total magnetic moment = 3.8 Bohr magnetons per cell

Cell and atoms, written as CIF:
```
data_Sc2Zn2Fe
_chemical_formula_sum 'Sc4 Zn4 Fe2'
_symmetry_space_group_name_H-M 'P 1'
_symmetry_Int_Tables_number 1
_cell_length_a 6.617
_cell_length_b 6.617
_cell_length_c 4.100
_cell_angle_alpha 90.00
_cell_angle_beta 90.00
_cell_angle_gamma 90.00
loop_
_symmetry_equiv_pos_as_xyz
'x,y,z'
loop_
_atom_site_label
_atom_site_fract_x
_atom_site_fract_y
_atom_site_fract_z
Sc1 0.177 0.323 0.000
Sc2 0.323 0.823 0.000
Sc3 0.677 0.177 0.000
Sc4 0.823 0.677 0.000
Zn1 0.132 0.632 0.500
Zn2 0.368 0.132 0.500
Zn3 0.632 0.868 0.500
Zn4 0.868 0.368 0.500
Fe1 0.000 0.000 0.500
Fe2 0.500 0.500 0.500
```

---

No. 3
Sc3ZnFe after structural relaxation. Source: Alexandria, functional GGA-PBE.

Results
Energy relative to the lowest polymorph listed for this composition = 0.817 eV per atom
Total magnetic moment = 0.0 Bohr magnetons per cell

Cell and atoms, written as CIF:
```
data_Sc3ZnFe
_chemical_formula_sum 'Sc3 Zn1 Fe1'
_symmetry_space_group_name_H-M 'P 1'
_symmetry_Int_Tables_number 1
_cell_length_a 4.911
_cell_length_b 4.911
_cell_length_c 4.911
_cell_angle_alpha 90.00
_cell_angle_beta 90.00
_cell_angle_gamma 90.00
loop_
_symmetry_equiv_pos_as_xyz
'x,y,z'
loop_
_atom_site_label
_atom_site_fract_x
_atom_site_fract_y
_atom_site_fract_z
Sc1 0.000 0.000 0.500
Sc2 0.000 0.500 0.000
Sc3 0.500 0.000 0.000
Zn1 0.000 0.000 0.000
Fe1 0.500 0.500 0.500
```

---

No. 4
ScZnFe3 after structural relaxation. Source: Alexandria, functional GGA-PBE.

Results
Energy relative to the lowest polymorph listed for this composition = 0.590 eV per atom
Total magnetic moment = 5.8 Bohr magnetons per cell

Cell and atoms, written as CIF:
```
data_ScZnFe3
_chemical_formula_sum 'Sc1 Zn1 Fe3'
_symmetry_space_group_name_H-M 'P 1'
_symmetry_Int_Tables_number 1
_cell_length_a 4.419
_cell_length_b 4.419
_cell_length_c 4.419
_cell_angle_alpha 90.00
_cell_angle_beta 90.00
_cell_angle_gamma 90.00
loop_
_symmetry_equiv_pos_as_xyz
'x,y,z'
loop_
_atom_site_label
_atom_site_fract_x
_atom_site_fract_y
_atom_site_fract_z
Sc1 0.000 0.000 0.000
Zn1 0.500 0.500 0.500
Fe1 0.000 0.000 0.500
Fe2 0.000 0.500 0.000
Fe3 0.500 0.000 0.000
```

---

No. 5
Sc2Zn3Fe after structural relaxation. Source: Alexandria, functional GGA-PBE.

Results
DFT total energy = -53.0 eV per cell
Total magnetic moment = 2.4 Bohr magnetons per cell

Cell and atoms, written as CIF:
```
data_Sc2Zn3Fe
_chemical_formula_sum 'Sc4 Zn6 Fe2'
_symmetry_space_group_name_H-M 'P 1'
_symmetry_Int_Tables_number 1
_cell_length_a 8.920
_cell_length_b 5.128
_cell_length_c 5.191
_cell_angle_alpha 90.00
_cell_angle_beta 124.98
_cell_angle_gamma 90.00
loop_
_symmetry_equiv_pos_as_xyz
'x,y,z'
loop_
_atom_site_label
_atom_site_fract_x
_atom_site_fract_y
_atom_site_fract_z
Sc1 0.128 0.000 0.384
Sc2 0.372 0.500 0.616
Sc3 0.628 0.500 0.384
Sc4 0.872 0.000 0.616
Zn1 0.000 0.500 0.000
Zn2 0.250 0.250 0.000
Zn3 0.250 0.750 0.000
Zn4 0.500 0.000 0.000
Zn5 0.750 0.250 0.000
Zn6 0.750 0.750 0.000
Fe1 0.000 0.500 0.500
Fe2 0.500 0.000 0.500
```

---

No. 6
Sc8Zn2Fe after structural relaxation. Source: Alexandria, functional GGA-PBE.

Results
DFT total energy = -62.3 eV per cell
Total magnetic moment = 0.0 Bohr magnetons per cell

Cell and atoms, written as CIF:
```
data_Sc8Zn2Fe
_chemical_formula_sum 'Sc8 Zn2 Fe1'
_symmetry_space_group_name_H-M 'P 1'
_symmetry_Int_Tables_number 1
_cell_length_a 7.738
_cell_length_b 7.738
_cell_length_c 7.738
_cell_angle_alpha 144.83
_cell_angle_beta 120.56
_cell_angle_gamma 70.99
loop_
_symmetry_equiv_pos_as_xyz
'x,y,z'
loop_
_atom_site_label
_atom_site_fract_x
_atom_site_fract_y
_atom_site_fract_z
Sc1 0.125 0.125 0.000
Sc2 0.128 0.351 0.776
Sc3 0.329 0.000 0.329
Sc4 0.425 0.649 0.776
Sc5 0.575 0.351 0.224
Sc6 0.671 0.000 0.671
Sc7 0.872 0.649 0.224
Sc8 0.875 0.875 0.000
Zn1 0.299 0.799 0.500
Zn2 0.701 0.201 0.500
Fe1 0.000 0.500 0.500
```

---

No. 7
Sc4Zn3Fe after structural relaxation. Source: Alexandria, functional GGA-PBE.

Results
DFT total energy = -40.1 eV per cell
Total magnetic moment = 0.0 Bohr magnetons per cell

Cell and atoms, written as CIF:
```
data_Sc4Zn3Fe
_chemical_formula_sum 'Sc4 Zn3 Fe1'
_symmetry_space_group_name_H-M 'P 1'
_symmetry_Int_Tables_number 1
_cell_length_a 3.242
_cell_length_b 3.242
_cell_length_c 13.600
_cell_angle_alpha 90.00
_cell_angle_beta 90.00
_cell_angle_gamma 90.00
loop_
_symmetry_equiv_pos_as_xyz
'x,y,z'
loop_
_atom_site_label
_atom_site_fract_x
_atom_site_fract_y
_atom_site_fract_z
Sc1 0.000 0.000 0.108
Sc2 0.000 0.000 0.372
Sc3 0.000 0.000 0.628
Sc4 0.000 0.000 0.892
Zn1 0.500 0.500 0.242
Zn2 0.500 0.500 0.500
Zn3 0.500 0.500 0.758
Fe1 0.500 0.500 0.000
```

---

No. 8
ScZn11Fe after structural relaxation. Source: Alexandria, functional GGA-PBE.

Results
DFT total energy = -30.2 eV per cell
Total magnetic moment = 2.1 Bohr magnetons per cell

Cell and atoms, written as CIF:
```
data_ScZn11Fe
_chemical_formula_sum 'Sc1 Zn11 Fe1'
_symmetry_space_group_name_H-M 'P 1'
_symmetry_Int_Tables_number 1
_cell_length_a 6.716
_cell_length_b 6.716
_cell_length_c 6.640
_cell_angle_alpha 98.34
_cell_angle_beta 98.34
_cell_angle_gamma 134.89
loop_
_symmetry_equiv_pos_as_xyz
'x,y,z'
loop_
_atom_site_label
_atom_site_fract_x
_atom_site_fract_y
_atom_site_fract_z
Sc1 0.000 0.000 0.000
Zn1 0.000 0.500 0.000
Zn2 0.011 0.670 0.647
Zn3 0.279 0.492 0.784
Zn4 0.330 0.989 0.353
Zn5 0.492 0.279 0.784
Zn6 0.500 0.000 0.000
Zn7 0.500 0.500 0.500
Zn8 0.508 0.721 0.216
Zn9 0.670 0.011 0.647
Zn10 0.721 0.508 0.216
Zn11 0.989 0.330 0.353
Fe1 0.000 0.000 0.500
```

---

No. 9
ScZn2Fe2 after structural relaxation. Source: Alexandria, functional GGA-PBE.

Results
DFT total energy = -51.6 eV per cell
Total magnetic moment = 7.2 Bohr magnetons per cell

Cell and atoms, written as CIF:
```
data_ScZn2Fe2
_chemical_formula_sum 'Sc2 Zn4 Fe4'
_symmetry_space_group_name_H-M 'P 1'
_symmetry_Int_Tables_number 1
_cell_length_a 7.343
_cell_length_b 7.343
_cell_length_c 2.688
_cell_angle_alpha 90.00
_cell_angle_beta 90.00
_cell_angle_gamma 90.00
loop_
_symmetry_equiv_pos_as_xyz
'x,y,z'
loop_
_atom_site_label
_atom_site_fract_x
_atom_site_fract_y
_atom_site_fract_z
Sc1 0.000 0.000 0.000
Sc2 0.500 0.500 0.000
Zn1 0.178 0.322 0.500
Zn2 0.322 0.822 0.500
Zn3 0.678 0.178 0.500
Zn4 0.822 0.678 0.500
Fe1 0.115 0.615 0.000
Fe2 0.385 0.115 0.000
Fe3 0.615 0.885 0.000
Fe4 0.885 0.385 0.000
```

---

No. 10
ZrScZnFe after structural relaxation. Source: Alexandria, functional GGA-PBE.

Results
DFT total energy = -101.6 eV per cell
Total magnetic moment = 0.7 Bohr magnetons per cell

Cell and atoms, written as CIF:
```
data_ZrScZnFe
_chemical_formula_sum 'Zr4 Sc4 Zn4 Fe4'
_symmetry_space_group_name_H-M 'P 1'
_symmetry_Int_Tables_number 1
_cell_length_a 6.493
_cell_length_b 6.493
_cell_length_c 6.493
_cell_angle_alpha 90.00
_cell_angle_beta 90.00
_cell_angle_gamma 90.00
loop_
_symmetry_equiv_pos_as_xyz
'x,y,z'
loop_
_atom_site_label
_atom_site_fract_x
_atom_site_fract_y
_atom_site_fract_z
Zr1 0.000 0.000 0.000
Zr2 0.000 0.500 0.500
Zr3 0.500 0.000 0.500
Zr4 0.500 0.500 0.000
Sc1 0.000 0.000 0.500
Sc2 0.000 0.500 0.000
Sc3 0.500 0.000 0.000
Sc4 0.500 0.500 0.500
Zn1 0.250 0.250 0.750
Zn2 0.250 0.750 0.250
Zn3 0.750 0.250 0.250
Zn4 0.750 0.750 0.750
Fe1 0.250 0.250 0.250
Fe2 0.250 0.750 0.750
Fe3 0.750 0.250 0.750
Fe4 0.750 0.750 0.250
```

---

No. 11
Zr3Sc2Fe2 after structural relaxation. Source: Alexandria, functional GGA-PBE.

Results
Energy relative to the lowest polymorph listed for this composition = 0.000 eV per atom
Total magnetic moment = 0.0 Bohr magnetons per cell

Cell and atoms, written as CIF:
```
data_Zr3Sc2Fe2
_chemical_formula_sum 'Zr6 Sc4 Fe4'
_symmetry_space_group_name_H-M 'P 1'
_symmetry_Int_Tables_number 1
_cell_length_a 11.085
_cell_length_b 3.354
_cell_length_c 8.242
_cell_angle_alpha 90.00
_cell_angle_beta 116.27
_cell_angle_gamma 90.00
loop_
_symmetry_equiv_pos_as_xyz
'x,y,z'
loop_
_atom_site_label
_atom_site_fract_x
_atom_site_fract_y
_atom_site_fract_z
Zr1 0.000 0.000 0.000
Zr2 0.117 0.000 0.437
Zr3 0.383 0.500 0.563
Zr4 0.500 0.500 0.000
Zr5 0.617 0.500 0.437
Zr6 0.883 0.000 0.563
Sc1 0.159 0.500 0.812
Sc2 0.341 0.000 0.188
Sc3 0.659 0.000 0.812
Sc4 0.841 0.500 0.188
Fe1 0.174 0.500 0.239
Fe2 0.326 0.000 0.761
Fe3 0.674 0.000 0.239
Fe4 0.826 0.500 0.761
```

---

No. 12
ZrScFe3 after structural relaxation. Source: Alexandria, functional GGA-PBE.

Results
Energy relative to the lowest polymorph listed for this composition = 0.000 eV per atom
Total magnetic moment = 5.0 Bohr magnetons per cell

Cell and atoms, written as CIF:
```
data_ZrScFe3
_chemical_formula_sum 'Zr1 Sc1 Fe3'
_symmetry_space_group_name_H-M 'P 1'
_symmetry_Int_Tables_number 1
_cell_length_a 4.424
_cell_length_b 4.424
_cell_length_c 4.424
_cell_angle_alpha 90.00
_cell_angle_beta 90.00
_cell_angle_gamma 90.00
loop_
_symmetry_equiv_pos_as_xyz
'x,y,z'
loop_
_atom_site_label
_atom_site_fract_x
_atom_site_fract_y
_atom_site_fract_z
Zr1 0.000 0.000 0.000
Sc1 0.500 0.500 0.500
Fe1 0.000 0.500 0.500
Fe2 0.500 0.000 0.500
Fe3 0.500 0.500 0.000
```